## Be2ZnIr (PBE)

Data for a relaxed Be2ZnIr crystal.

Cell: 2.7747 3.6621 4.6164 Å, 90.00 107.33 90.00°
Closest atoms and distances in Å follow each position.
Element x y z (fractional)
Be (0.0000, 0.0000, 0.0000)  2 Be 2.20, 2 Ir 2.38, 4 Zn 2.45-2.46
Be (0.1390, 0.5000, 0.2774)  2 Be 2.20, 1 Zn 2.32, 4 Ir 2.40-2.41
Zn (0.4036, 0.5000, 0.8039)  7 Be 2.32-2.51
Ir (0.7187, 0.0000, 0.4393)  7 Be 2.38-2.47

Uncorrected energy = -4.641 eV/atom
Energy of formation from the pure elements = -0.2442 eV per atom
DOS at the Fermi energy = 0.340 states/eV per atom

---

## BeZnIr2 (PBE)

Data for a relaxed BeZnIr2 crystal.

Cell: 2.8377 4.0645 4.6419 Å, 90.00 90.00 90.00°
Closest atoms and distances in Å follow each position.
Element x y z (fractional)
Be (0.0000, 0.0000, 0.0000)  4 Ir 2.48, 4 Zn 2.72
Zn (0.5000, 0.0000, 0.5000)  4 Ir 2.48, 4 Be 2.72
Ir (0.0000, 0.5000, 0.5000)  4 Zn 2.48, 4 Ir 2.72
Ir (0.5000, 0.5000, 0.0000)  4 Be 2.48, 4 Ir 2.72

Excess energy over the best structure of this formula in the dataset = 0.226 eV per atom
Uncorrected energy = -5.756 eV/atom
Energy of formation from the pure elements = -0.0757 eV per atom
DOS at the Fermi energy = 0.510 states/eV per atom

---

## BeZnIr2 (PBE)

Data for a relaxed BeZnIr2 crystal.

Cell: 2.7298 2.7298 7.9249 Å, 90.00 90.00 116.82°
Closest atoms and distances in Å follow each position.
Element x y z (fractional)
Be (0.0000, 0.0000, 0.0000)  4 Ir 2.28
Zn (0.0000, 0.0000, 0.5000)  4 Ir 2.61, 6 Zn 2.73-2.86
Ir (0.5000, 0.5000, 0.2240)  2 Be 2.28
Ir (0.5000, 0.5000, 0.7760)  2 Be 2.28

Excess energy over the best structure of this formula in the dataset = 0.126 eV per atom
Uncorrected energy = -5.857 eV/atom
Energy of formation from the pure elements = -0.1761 eV per atom
DOS at the Fermi energy = 0.912 states/eV per atom

---

## Be2ZnIr (PBE)

Data for a relaxed Be2ZnIr crystal.

Cell: 3.9148 3.9148 2.8722 Å, 90.00 90.00 90.16°
Closest atoms and distances in Å follow each position.
Element x y z (fractional)
Be (0.0000, 0.5000, 0.0000)  4 Ir 2.43, 4 Zn 2.43
Be (0.5000, 0.0000, 0.0000)  4 Ir 2.43, 4 Zn 2.43
Zn (0.0000, 0.0000, 0.5000)  8 Be 2.43
Ir (0.5000, 0.5000, 0.5000)  8 Be 2.43

Uncorrected energy = -4.719 eV/atom
Energy of formation from the pure elements = -0.3218 eV per atom
DOS at the Fermi energy = 0.203 states/eV per atom

---

## Be2ZnIr (PBE)

Data for a relaxed Be2ZnIr crystal.

Cell: 7.8526 7.8526 7.8526 Å, 19.94 19.94 19.94°
Closest atoms and distances in Å follow each position.
Element x y z (fractional)
Be (0.2430, 0.2430, 0.2430)  3 Ir 2.36, 3 Zn 2.61
Be (0.7570, 0.7570, 0.7570)  3 Ir 2.36, 3 Zn 2.61
Zn (0.0000, 0.0000, 0.0000)  6 Be 2.61, 6 Zn 2.72
Ir (0.5000, 0.5000, 0.5000)  6 Be 2.36

Uncorrected energy = -4.386 eV/atom
Energy of formation from the pure elements = 0.0112 eV per atom
DOS at the Fermi energy = 0.644 states/eV per atom

---

## BeZnIr (PBE)

Data for a relaxed BeZnIr crystal.

Cell: 6.4133 6.1379 2.7226 Å, 83.20 71.87 24.93°
Closest atoms and distances in Å follow each position.
Element x y z (fractional)
Be (0.0000, 0.0000, 0.0000)  2 Ir 2.23, 2 Zn 2.45
Zn (0.3324, 0.3324, 0.6676)  2 Be 2.45, 2 Ir 2.65, 4 Zn 2.72
Ir (0.6447, 0.6447, 0.3553)  2 Be 2.23

Excess energy over the best structure of this formula in the dataset = 0.342 eV per atom
Uncorrected energy = -4.661 eV/atom
Energy of formation from the pure elements = -0.0404 eV per atom
DOS at the Fermi energy = 0.371 states/eV per atom

---

## BeZnIr2 (PBE)

Data for a relaxed BeZnIr2 crystal.

Cell: 4.8769 4.8769 2.7321 Å, 104.57 104.57 112.49°
Closest atoms and distances in Å follow each position.
Element x y z (fractional)
Be (0.0000, 0.0000, 0.0000)  4 Ir 2.48, 2 Zn 2.71, 2 Be 2.73
Zn (0.5000, 0.5000, 0.0000)  4 Ir 2.48, 2 Be 2.71, 2 Zn 2.73
Ir (0.0000, 0.5000, 0.5000)  2 Be 2.48, 2 Zn 2.48, 4 Ir 2.71-2.73
Ir (0.5000, 0.0000, 0.5000)  2 Be 2.48, 2 Zn 2.48, 4 Ir 2.71-2.73

Excess energy over the best structure of this formula in the dataset = 0.232 eV per atom
Uncorrected energy = -5.750 eV/atom
Energy of formation from the pure elements = -0.0695 eV per atom
DOS at the Fermi energy = 0.751 states/eV per atom

---

## BeZnIr2 (PBE)

Data for a relaxed BeZnIr2 crystal.

Cell: 7.8706 7.8706 7.8706 Å, 20.47 20.47 20.47°
Closest atoms and distances in Å follow each position.
Element x y z (fractional)
Be (0.0000, 0.0000, 0.0000)  6 Ir 2.37
Zn (0.5000, 0.5000, 0.5000)  6 Ir 2.66, 6 Zn 2.80
Ir (0.2583, 0.2583, 0.2583)  3 Be 2.37
Ir (0.7417, 0.7417, 0.7417)  3 Be 2.37

Excess energy over the best structure of this formula in the dataset = 0.079 eV per atom
Uncorrected energy = -5.903 eV/atom
Energy of formation from the pure elements = -0.2224 eV per atom
DOS at the Fermi energy = 0.785 states/eV per atom

---

> Which formula does entry 8 have?

BeZnIr2

---

> What is the DOS at the Fermi energy in the second record?

0.510 states/eV per atom

---

> What is the uncorrected energy in the third record?

-5.857 eV/atom